# SnTe2IrS

An optimized crystal structure of SnTe2IrS (GGA-PBE, the Alexandria database).

Lattice parameters (Å, degrees): 5.213 5.222 5.213 90.00 90.00 90.00
Positions (direct):
1 S 0.500 0.500 0.500
2 Ir 0.000 0.000 0.000
3 Te 0.000 0.000 0.500
4 Te 0.500 0.000 0.000
5 Sn 0.000 0.500 0.000

Its total energy is -4.129 eV/atom. Its formation energy from raw total energies is 0.53 eV/atom.